Record 1
First-principles (PBE-GGA) data for K2SbOs after structural relaxation, as listed in Alexandria via LeMat-Bulk.

```
K2SbOs
1.0
-2.887 5.143 -2.782
-5.989 -1.329 -2.213
3.612 0.010 5.430
K Os Sb
2 1 1
direct
0.026 0.026 0.000 K
0.726 0.226 0.500 K
0.437 0.437 0.000 Os
0.312 0.812 0.500 Sb
```

For the uncorrected formation energy, the calculation gives 0.5025 eV per atom. The symmetry is Imm2, No. 44. The density of states at the Fermi level is 0.61 states/eV per atom.


Record 2
First-principles (PBE-GGA) data for In4AgRh after structural relaxation, as listed in Alexandria via LeMat-Bulk.

```
In4AgRh
1.0
3.064 -3.004 3.889
-1.981 -5.080 1.949
2.625 -4.922 -1.557
Rh In Ag
1 4 1
direct
0.750 0.750 0.750 Rh
0.375 0.874 0.375 In
0.874 0.375 0.375 In
0.375 0.375 0.874 In
0.375 0.375 0.375 In
0.000 0.000 0.000 Ag
```

The symmetry is F-43m, No. 216. The formation energy comes out at 465 meV per atom. The density of states at the Fermi level is 0.78 states/eV per atom.


Record 3
First-principles (PBE-GGA) data for AgHg2Ru after structural relaxation, as listed in Alexandria via LeMat-Bulk.

```
AgHg2Ru
1.0
5.593 0.011 0.038
4.790 2.886 0.038
1.835 0.512 4.665
Ru Ag Hg
1 1 2
direct
0.504 0.504 0.584 Ru
0.238 0.238 0.181 Ag
0.762 0.762 0.659 Hg
0.996 0.996 0.077 Hg
```

The symmetry is Cm, No. 8. The formation energy comes out at 406 meV per atom. The energy above the most stable polymorph in this dataset comes out at 21 meV/atom. The density of states at the Fermi level is 0.41 states/eV per atom.


Number 1: mass density 4.85 g cm⁻³, V 33.4 Å³/atom. Number 2: mass density 8.10 g cm⁻³, V 22.9 Å³/atom. Number 3: mass density 13.54 g cm⁻³, V 18.7 Å³/atom.